(1)
Crystalline SrCaMg2Rh at its relaxed geometry, computed with PBE.

a = 5.2154 Å, b = 5.2154 Å, c = 5.5482 Å
α = 90.00°, β = 90.00°, γ = 90.00°
Closest atoms and distances in Å follow each position.
Space group P4/mmm (No. 123)
Symmetry-distinct sites (fractional):
Sr  0.0000  0.0000  0.0000 (multiplicity 1)  2 Rh 2.77
Ca  0.5000  0.5000  0.0000 (multiplicity 1)  4 Sr 3.69, 8 Mg 3.81
Mg  0.0000  0.5000  0.5000 (multiplicity 2)  2 Rh 2.61
Rh  0.0000  0.0000  0.5000 (multiplicity 1)  4 Mg 2.61, 2 Sr 2.77

For the theoretical density, the calculation gives 3.07 g cm⁻³. The calculation puts the formation energy at -97 meV/atom. For the density of states at the Fermi level, the calculation gives 0.86 states/eV per atom. The energy above the most stable polymorph in this dataset is 0.112 eV per atom. The calculation puts the final energy at -2.94 eV per atom.

(2)
Crystalline BeHSe at its relaxed geometry, computed with PBE.

a = 3.3915 Å, b = 3.3923 Å, c = 9.3295 Å
α = 90.71°, β = 90.97°, γ = 90.39°
Closest atoms and distances in Å follow each position.
Space group P1 (No. 1)
Symmetry-distinct sites (fractional):
Be  0.0000  0.0000  0.0000 (multiplicity 1)  4 Se 2.33, 4 Be 2.39-2.41
Be  0.4996  0.5001  0.0001 (multiplicity 1)  4 Se 2.33, 4 Be 2.39-2.41
H  0.0894  0.5815  0.5028 (multiplicity 1)  1 H 0.75
H  0.9298  0.4270  0.4964 (multiplicity 1)  1 H 0.75
Se  0.4922  0.9942  0.8283 (multiplicity 1)  4 Be 2.33
Se  0.5079  0.0059  0.1718 (multiplicity 1)  4 Be 2.33

For the theoretical density, the calculation gives 2.75 g cm⁻³. For the density of states at the Fermi level, the calculation gives 0.17 states/eV per atom. The energy above the most stable polymorph in this dataset is 0.374 eV per atom. The calculation puts the final energy at -3.65 eV per atom.

(3)
Crystalline Ce8InIr2 at its relaxed geometry, computed with PBE.

a = 8.3308 Å, b = 13.3969 Å, c = 5.4032 Å
α = 90.00°, β = 104.29°, γ = 90.00°
Closest atoms and distances in Å follow each position.
Space group C2/m (No. 12)
Symmetry-distinct sites (fractional):
Ce  0.0000  0.2432  0.0000 (multiplicity 4)  2 Ir 2.77
Ce  0.0824  0.0000  0.8105 (multiplicity 4)  1 Ce 2.73
Ce  0.1848  0.3933  0.5600 (multiplicity 8)  2 Ce 2.86-2.99, 2 Ir 2.98-3.02
In  0.0000  0.5000  0.0000 (multiplicity 2)  12 Ce 3.36-3.45
Ir  0.0000  0.1976  0.5000 (multiplicity 4)  6 Ce 2.77-3.02

For the theoretical density, the calculation gives 9.21 g cm⁻³. The calculation puts the formation energy at -308 meV/atom. For the density of states at the Fermi level, the calculation gives 2.89 states/eV per atom. The calculation puts the final energy at -6.48 eV per atom.

(4)
Crystalline Be2Si at its relaxed geometry, computed with PBE.

a = 5.9417 Å, b = 5.9417 Å, c = 3.3769 Å
α = 90.00°, β = 90.00°, γ = 120.00°
Closest atoms and distances in Å follow each position.
Space group P-62m (No. 189)
Symmetry-distinct sites (fractional):
Be  0.0000  0.2613  0.0000 (multiplicity 3)  4 Si 2.23-2.29
Be  0.0000  0.6195  0.5000 (multiplicity 3)  5 Si 2.26-2.51
Si  0.0000  0.0000  0.5000 (multiplicity 1)  9 Be 2.26-2.29
Si  0.3333  0.6667  0.0000 (multiplicity 2)  3 Be 2.23

For the theoretical density, the calculation gives 2.22 g cm⁻³. For the density of states at the Fermi level, the calculation gives 0.17 states/eV per atom. The energy above the most stable polymorph in this dataset is 0.211 eV per atom. The calculation puts the final energy at -3.94 eV per atom. The uncorrected formation energy is 1.042 eV per formula unit.

(5)
Crystalline Be2CoIrN at its relaxed geometry, computed with PBE.

a = 4.3783 Å, b = 4.3783 Å, c = 3.6920 Å
α = 90.00°, β = 90.00°, γ = 90.00°
Closest atoms and distances in Å follow each position.
Space group P4/mmm (No. 123)
Symmetry-distinct sites (fractional):
Be  0.0000  0.5000  0.0000 (multiplicity 2)  2 Ir 2.19
Co  0.0000  0.0000  0.5000 (multiplicity 1)  8 Be 2.86, 4 N 3.10
Ir  0.5000  0.5000  0.0000 (multiplicity 1)  2 N 1.85
N  0.5000  0.5000  0.5000 (multiplicity 1)  2 Ir 1.85

For the theoretical density, the calculation gives 6.64 g cm⁻³. For the density of states at the Fermi level, the calculation gives 0.51 states/eV per atom. The energy above the most stable polymorph in this dataset is 1.039 eV per atom. The calculation puts the final energy at -5.39 eV per atom. The uncorrected formation energy is 4.778 eV per formula unit.

(6)
Crystalline CePm5Er at its relaxed geometry, computed with PBE.

a = 11.5726 Å, b = 8.8187 Å, c = 5.8102 Å
α = 90.00°, β = 90.29°, γ = 90.00°
Closest atoms and distances in Å follow each position.
Space group C2/m (No. 12)
Symmetry-distinct sites (fractional):
Ce  0.0000  0.0000  0.0000 (multiplicity 2)  6 Pm 2.73-2.91
Pm  0.0000  0.0000  0.5000 (multiplicity 2)  2 Ce 2.91
Pm  0.0000  0.3092  0.0000 (multiplicity 4)  1 Ce 2.73
Pm  0.2479  0.0000  0.0054 (multiplicity 4)  1 Ce 2.87
Er  0.0000  0.5000  0.5000 (multiplicity 2)  4 Pm 3.36

For the theoretical density, the calculation gives 5.78 g cm⁻³. The calculation puts the formation energy at 826 meV/atom. For the density of states at the Fermi level, the calculation gives 1.75 states/eV per atom. The calculation puts the final energy at -4.07 eV per atom.

(7)
Crystalline La4SbOs at its relaxed geometry, computed with PBE.

a = 9.1207 Å, b = 14.2645 Å, c = 6.3863 Å
α = 90.00°, β = 115.23°, γ = 90.00°
Closest atoms and distances in Å follow each position.
Space group C2/c (No. 15)
Symmetry-distinct sites (fractional):
La  0.1116  0.1799  0.0692 (multiplicity 8)  2 Os 3.13-3.19, 2 Sb 3.33-3.37
La  0.2256  0.4312  0.3407 (multiplicity 8)  2 Os 2.90-2.97
Sb  0.0000  0.3770  0.7500 (multiplicity 4)  8 La 3.32-3.53
Os  0.0000  0.0019  0.2500 (multiplicity 4)  8 La 2.90-3.19, 2 Os 3.19

For the theoretical density, the calculation gives 7.67 g cm⁻³. For the density of states at the Fermi level, the calculation gives 1.18 states/eV per atom. The energy above the most stable polymorph in this dataset is 0.007 eV per atom. The calculation puts the final energy at -6.35 eV per atom. The uncorrected formation energy is -3.010 eV per formula unit.

(8)
Crystalline BeGa2Ru2 at its relaxed geometry, computed with PBE.

a = 6.6555 Å, b = 6.6555 Å, c = 3.1810 Å
α = 90.00°, β = 90.00°, γ = 90.00°
Closest atoms and distances in Å follow each position.
Space group P4/mbm (No. 127)
Symmetry-distinct sites (fractional):
Be  0.0000  0.0000  0.0000 (multiplicity 2)  4 Ga 2.57
Ga  0.1396  0.3604  0.0000 (multiplicity 4)  6 Ru 2.46-2.56, 2 Be 2.57, 1 Ga 2.63
Ru  0.1612  0.6612  0.5000 (multiplicity 4)  6 Ga 2.46-2.56

For the theoretical density, the calculation gives 8.26 g cm⁻³. The calculation puts the formation energy at -22 meV/atom. For the density of states at the Fermi level, the calculation gives 0.41 states/eV per atom. The energy above the most stable polymorph in this dataset is 0.218 eV per atom. The calculation puts the final energy at -5.69 eV per atom.

(9)
Crystalline LiLaPb2 at its relaxed geometry, computed with PBE.

a = 7.7399 Å, b = 7.7399 Å, c = 7.7399 Å
α = 90.00°, β = 90.00°, γ = 90.00°
Closest atoms and distances in Å follow each position.
Space group F-43m (No. 216)
Symmetry-distinct sites (fractional):
Li  0.0000  0.0000  0.0000 (multiplicity 4)  4 Pb 3.35, 4 La 3.35
La  0.2500  0.2500  0.2500 (multiplicity 4)  4 Li 3.35, 4 Pb 3.35
Pb  0.0000  0.0000  0.5000 (multiplicity 4)  4 La 3.35, 4 Pb 3.35
Pb  0.2500  0.2500  0.7500 (multiplicity 4)  4 Pb 3.35, 4 Li 3.35

For the theoretical density, the calculation gives 8.03 g cm⁻³. The calculation puts the formation energy at -243 meV/atom. For the density of states at the Fermi level, the calculation gives 0.63 states/eV per atom. The calculation puts the final energy at -3.81 eV per atom.

(10)
Crystalline NdBPt4 at its relaxed geometry, computed with PBE.

a = 5.5053 Å, b = 5.5053 Å, c = 7.7154 Å
α = 90.00°, β = 90.00°, γ = 120.00°
Closest atoms and distances in Å follow each position.
Space group P6/mmm (No. 191)
Symmetry-distinct sites (fractional):
Nd  0.0000  0.0000  0.0000 (multiplicity 1)  12 Pt 3.15, 6 B 3.18
Nd  0.0000  0.0000  0.5000 (multiplicity 1)  6 Pt 3.18
B  0.3333  0.6667  0.0000 (multiplicity 2)  6 Pt 2.21
Pt  0.0000  0.5000  0.1988 (multiplicity 6)  2 B 2.21
Pt  0.3333  0.6667  0.5000 (multiplicity 2)  6 Pt 2.82

For the theoretical density, the calculation gives 15.34 g cm⁻³. The calculation puts the formation energy at -793 meV/atom. For the density of states at the Fermi level, the calculation gives 0.33 states/eV per atom. The calculation puts the final energy at -6.73 eV per atom.

(11)
Crystalline ScSeS at its relaxed geometry, computed with PBE.

a = 19.1905 Å, b = 3.8649 Å, c = 3.6765 Å
α = 90.00°, β = 100.95°, γ = 90.00°
Closest atoms and distances in Å follow each position.
Space group C2/m (No. 12)
Symmetry-distinct sites (fractional):
Sc  0.1508  0.0000  0.1512 (multiplicity 4)  2 S 2.58, 5 Se 2.80-2.89
Se  0.1960  0.5000  0.6963 (multiplicity 4)  5 Sc 2.80-2.89
S  0.0547  0.0000  0.5554 (multiplicity 4)  1 S 2.06

For the theoretical density, the calculation gives 3.87 g cm⁻³. For the density of states at the Fermi level, the calculation gives 0.30 states/eV per atom. The energy above the most stable polymorph in this dataset is 0.241 eV per atom. The calculation puts the final energy at -5.89 eV per atom. The uncorrected formation energy is -3.713 eV per formula unit.

(12)
Crystalline Ag2MoOs at its relaxed geometry, computed with PBE.

a = 2.8408 Å, b = 3.9373 Å, c = 5.9309 Å
α = 90.00°, β = 91.49°, γ = 90.00°
Closest atoms and distances in Å follow each position.
Space group Pm (No. 6)
Symmetry-distinct sites (fractional):
Ag  0.0000  0.0000  0.0000 (multiplicity 1)  6 Ag 2.80-2.84, 2 Os 2.82-3.12, 4 Mo 2.95-3.00
Ag  0.4817  0.5000  0.7605 (multiplicity 1)  2 Mo 2.80-3.14, 6 Ag 2.80-2.84, 4 Os 2.94-2.99
Mo  0.5355  0.5000  0.2893 (multiplicity 1)  4 Os 2.53-2.82, 1 Ag 2.80
Os  0.9492  0.0000  0.4735 (multiplicity 1)  4 Mo 2.53-2.82, 1 Ag 2.82

For the theoretical density, the calculation gives 12.57 g cm⁻³. The calculation puts the formation energy at 435 meV/atom. For the density of states at the Fermi level, the calculation gives 0.84 states/eV per atom. The energy above the most stable polymorph in this dataset is 0.192 eV per atom. The calculation puts the final energy at -6.51 eV per atom.

Among the records above, which one has the lowest theoretical density? Be2Si

Which formula does entry 6 have? CePm5Er

What is the formula in the first record? SrCaMg2Rh